This record from the Open Quantum Materials Database describes an optimized crystal structure of DyHoGa4Cu2. The functional is PBE-GGA.

a = 6.540 Å, b = 5.480 Å, c = 5.480 Å
α = 46.42°, β = 90.00°, γ = 90.00°
Atoms (fractional coordinates):
Dy1 0.000 0.000 0.000
Ho1 0.500 0.179 0.179
Ga1 0.199 0.716 0.716
Ga2 0.302 0.463 0.463
Ga3 0.698 0.463 0.463
Ga4 0.801 0.716 0.716
Cu1 0.000 0.290 0.290
Cu2 0.500 0.888 0.888

Computed properties:
Crystal system: orthorhombic
Space-group type: Amm2 (38)
Uncorrected energy, eV per atom: -4.096
Calculated volume, Å³ per cell: 142